Here is a relaxed structure of TlFeTc2 from Alexandria via LeMat-Bulk. Energies are from GGA-PBE.

Computed properties:
The value obtained for the mass density is 11.87 g/cm³. The density of states at the Fermi level comes out at 3.84 states/eV per cell. The calculation puts the formation energy at 2.0 eV per formula unit. The total energy is -29.519 eV/cell.

abc: 4.827 4.827 4.855
angles: 77.71 77.71 35.38
Last column: magnetic moment on the atom in μB.
Atoms (fractional coordinates):
1 Tc 0.516 0.516 0.456  -0.07
2 Tc 0.984 0.984 0.044  -0.07
3 Fe 0.250 0.250 0.250  2.35
4 Tl 0.750 0.750 0.750  -0.01



Here is a relaxed structure of ZrAs2Rh from Alexandria via LeMat-Bulk. Energies are from GGA-PBE.

Computed properties:
The value obtained for the mass density is 7.81 g/cm³. The density of states at the Fermi level comes out at 3.00 states/eV per cell. The calculation puts the formation energy at -2.2 eV per formula unit. The total energy is -27.444 eV/cell.

abc: 3.866 3.359 5.635
angles: 89.99 90.00 90.00
Atoms (fractional coordinates):
1 Rh 0.500 0.250 0.250
2 Zr 0.500 0.750 0.750
3 As 0.000 0.250 0.984
4 As 0.000 0.250 0.516



Here is a relaxed structure of CsAcMnSe3 from Alexandria via LeMat-Bulk. Energies are from GGA-PBE.

Computed properties:
The value obtained for the mass density is 4.74 g/cm³. For the uncorrected formation energy, the calculation gives -1.34 eV/atom. The total energy is -65.274 eV/cell.

abc: 4.531 10.088 10.422
angles: 106.42 90.00 90.00
Last column: magnetic moment on the atom in μB.
Atoms (fractional coordinates):
1 Se 0.750 0.175 0.530  0.09
2 Se 0.250 0.825 0.470  0.09
3 Se 0.750 0.879 0.152  0.05
4 Se 0.250 0.544 0.845  0.01
5 Se 0.750 0.456 0.155  0.01
6 Se 0.250 0.121 0.848  0.05
7 Ac 0.250 0.664 0.152  0.03
8 Ac 0.750 0.336 0.848  0.03
9 Mn 0.250 0.083 0.604  4.22
10 Mn 0.750 0.917 0.396  4.22
11 Cs 0.250 0.194 0.229  0.00
12 Cs 0.750 0.806 0.771  0.00